[1]
Below is crystalline ZrH2Au2 at its relaxed geometry, with properties calculated at the PBE-GGA level.

Calculated values
energy relative to the lowest polymorph listed for this composition: 0 meV per atom
space-group type: P4/mbm

The structure in CIF format:
```
data_ZrH2Au2
_chemical_formula_sum 'Zr2 H4 Au4'
_symmetry_space_group_name_H-M 'P 1'
_symmetry_Int_Tables_number 1
_symmetry_space_group_name_Hall 'P 1'
_cell_length_a 5.6162
_cell_length_b 5.6162
_cell_length_c 4.2972
_cell_angle_alpha 90.00
_cell_angle_beta 90.00
_cell_angle_gamma 90.00
loop_
_atom_site_label
_atom_site_type_symbol
_atom_site_fract_x
_atom_site_fract_y
_atom_site_fract_z
_atom_site_occupancy
H1 H 0.6707 0.8293 0.0000 1
Zr1 Zr 0.5000 0.5000 0.0000 1
Zr2 Zr 0.0000 0.0000 0.0000 1
H2 H 0.1707 0.6707 0.0000 1
H3 H 0.3293 0.1707 0.0000 1
H4 H 0.8293 0.3293 0.0000 1
Au1 Au 0.1775 0.6775 0.5000 1
Au2 Au 0.3225 0.1775 0.5000 1
Au3 Au 0.8225 0.3225 0.5000 1
Au4 Au 0.6775 0.8225 0.5000 1
```

[2]
Below is crystalline Sc2AuF2 at its relaxed geometry, with properties calculated at the PBE-GGA level.

Calculated values
space-group type: I4/mmm

The structure in CIF format:
```
data_Sc2AuF2
_chemical_formula_sum 'Sc2 Au1 F2'
_symmetry_space_group_name_H-M 'P 1'
_symmetry_Int_Tables_number 1
_symmetry_space_group_name_Hall 'P 1'
_cell_length_a 3.4352
_cell_length_b 3.4352
_cell_length_c 6.7929
_cell_angle_alpha 75.35
_cell_angle_beta 75.35
_cell_angle_gamma 90.00
loop_
_atom_site_label
_atom_site_type_symbol
_atom_site_fract_x
_atom_site_fract_y
_atom_site_fract_z
_atom_site_occupancy
Au1 Au 0.0000 0.0000 0.0000 1
F1 F 0.7500 0.2500 0.5000 1
Sc1 Sc 0.6356 0.6356 0.7289 1
F2 F 0.2500 0.7500 0.5000 1
Sc2 Sc 0.3644 0.3644 0.2711 1
```

[3]
Below is crystalline CsBa2H at its relaxed geometry, with properties calculated at the PBE-GGA level.

Calculated values
space-group type: Fm-3m

The structure in CIF format:
```
data_CsBa2H
_chemical_formula_sum 'Cs1 Ba2 H1'
_symmetry_space_group_name_H-M 'P 1'
_symmetry_Int_Tables_number 1
_symmetry_space_group_name_Hall 'P 1'
_cell_length_a 6.5538
_cell_length_b 6.5538
_cell_length_c 6.5538
_cell_angle_alpha 60.00
_cell_angle_beta 60.00
_cell_angle_gamma 60.00
loop_
_atom_site_label
_atom_site_type_symbol
_atom_site_fract_x
_atom_site_fract_y
_atom_site_fract_z
_atom_site_occupancy
H1 H 0.0000 0.0000 0.0000 1
Ba1 Ba 0.7500 0.7500 0.7500 1
Ba2 Ba 0.2500 0.2500 0.2500 1
Cs1 Cs 0.5000 0.5000 0.5000 1
```

[4]
Below is crystalline LaMo2Br at its relaxed geometry, with properties calculated at the PBE-GGA level.

Calculated values
energy relative to the lowest polymorph listed for this composition: 0 meV per atom
space-group type: Pm

The structure in CIF format:
```
data_LaMo2Br
_chemical_formula_sum 'La1 Mo2 Br1'
_symmetry_space_group_name_H-M 'P 1'
_symmetry_Int_Tables_number 1
_symmetry_space_group_name_Hall 'P 1'
_cell_length_a 3.2884
_cell_length_b 3.3516
_cell_length_c 8.2281
_cell_angle_alpha 78.31
_cell_angle_beta 90.00
_cell_angle_gamma 90.00
loop_
_atom_site_label
_atom_site_type_symbol
_atom_site_fract_x
_atom_site_fract_y
_atom_site_fract_z
_atom_site_occupancy
Mo1 Mo 0.0000 0.0416 0.0424 1
Mo2 Mo 0.5000 0.4626 0.1976 1
La1 La 0.5000 0.6784 0.7705 1
Br1 Br 0.0000 0.3174 0.4894 1
```

[5]
Below is crystalline La3Cu at its relaxed geometry, with properties calculated at the PBE-GGA level.

Calculated values
formation energy: 74 meV per atom
space-group type: P6_3/mmc

The structure in CIF format:
```
data_La3Cu
_chemical_formula_sum 'La6 Cu2'
_symmetry_space_group_name_H-M 'P 1'
_symmetry_Int_Tables_number 1
_symmetry_space_group_name_Hall 'P 1'
_cell_length_a 7.3652
_cell_length_b 7.3652
_cell_length_c 4.9065
_cell_angle_alpha 90.00
_cell_angle_beta 90.00
_cell_angle_gamma 120.00
loop_
_atom_site_label
_atom_site_type_symbol
_atom_site_fract_x
_atom_site_fract_y
_atom_site_fract_z
_atom_site_occupancy
La1 La 0.8186 0.1814 0.2500 1
La2 La 0.3629 0.1814 0.2500 1
Cu1 Cu 0.3333 0.6667 0.2500 1
La3 La 0.8186 0.6371 0.2500 1
La4 La 0.6371 0.8186 0.7500 1
La5 La 0.1814 0.8186 0.7500 1
La6 La 0.1814 0.3629 0.7500 1
Cu2 Cu 0.6667 0.3333 0.7500 1
```

[6]
Below is crystalline Ca2BiI at its relaxed geometry, with properties calculated at the PBE-GGA level.

Calculated values
space-group type: I-42d

The structure in CIF format:
```
data_Ca2BiI
_chemical_formula_sum 'Ca4 Bi2 I2'
_symmetry_space_group_name_H-M 'P 1'
_symmetry_Int_Tables_number 1
_symmetry_space_group_name_Hall 'P 1'
_cell_length_a 7.0453
_cell_length_b 7.0453
_cell_length_c 9.1978
_cell_angle_alpha 67.48
_cell_angle_beta 67.48
_cell_angle_gamma 90.00
loop_
_atom_site_label
_atom_site_type_symbol
_atom_site_fract_x
_atom_site_fract_y
_atom_site_fract_z
_atom_site_occupancy
Bi1 Bi 0.0000 0.0000 0.0000 1
I1 I 0.5000 0.5000 0.0000 1
Ca1 Ca 0.3750 0.3485 0.7500 1
Ca2 Ca 0.8750 0.9015 0.7500 1
Ca3 Ca 0.6515 0.1250 0.2500 1
Ca4 Ca 0.0985 0.6250 0.2500 1
Bi2 Bi 0.7500 0.2500 0.5000 1
I2 I 0.2500 0.7500 0.5000 1
```

[7]
Below is crystalline DyTiTlAu at its relaxed geometry, with properties calculated at the PBE-GGA level.

Calculated values
formation energy: -262 meV per atom
space-group type: F-43m

The structure in CIF format:
```
data_DyTiTlAu
_chemical_formula_sum 'Dy1 Ti1 Tl1 Au1'
_symmetry_space_group_name_H-M 'P 1'
_symmetry_Int_Tables_number 1
_symmetry_space_group_name_Hall 'P 1'
_cell_length_a 5.0079
_cell_length_b 5.0079
_cell_length_c 5.0079
_cell_angle_alpha 60.00
_cell_angle_beta 60.00
_cell_angle_gamma 60.00
loop_
_atom_site_label
_atom_site_type_symbol
_atom_site_fract_x
_atom_site_fract_y
_atom_site_fract_z
_atom_site_occupancy
Au1 Au 0.5000 0.5000 0.5000 1
Dy1 Dy 0.7500 0.7500 0.7500 1
Ti1 Ti 0.2500 0.2500 0.2500 1
Tl1 Tl 0.0000 0.0000 0.0000 1
```

[8]
Below is crystalline CaZnTc2 at its relaxed geometry, with properties calculated at the PBE-GGA level.

Calculated values
formation energy: 521 meV per atom
space-group type: I4/mmm

The structure in CIF format:
```
data_CaZnTc2
_chemical_formula_sum 'Ca1 Zn1 Tc2'
_symmetry_space_group_name_H-M 'P 1'
_symmetry_Int_Tables_number 1
_symmetry_space_group_name_Hall 'P 1'
_cell_length_a 5.3855
_cell_length_b 5.3855
_cell_length_c 5.3855
_cell_angle_alpha 138.09
_cell_angle_beta 138.09
_cell_angle_gamma 60.76
loop_
_atom_site_label
_atom_site_type_symbol
_atom_site_fract_x
_atom_site_fract_y
_atom_site_fract_z
_atom_site_occupancy
Zn1 Zn 0.2500 0.7500 0.5000 1
Tc1 Tc 0.0000 0.0000 0.0000 1
Tc2 Tc 0.5000 0.5000 0.0000 1
Ca1 Ca 0.7500 0.2500 0.5000 1
```

| no. | spin magnetization (μB/cell) | DFT total energy (eV/atom) |
| --- | --- | --- |
| 1 | 0.00 | -4.5668 |
| 2 | 0.00 | -6.2777 |
| 3 | 0.01 | -1.3963 |
| 4 | 0.00 | -7.0956 |
| 5 | 0.00 | -4.6454 |
| 6 | 0.00 | -3.2241 |
| 7 | 1.57 | -4.7973 |
| 8 | 0.00 | -5.4812 |